Entry from Alexandria via LeMat-Bulk: a geometry-optimized CaPr12Tm2 structure (PBE-GGA).

- Total energy: -132.11 eV for the cell shown
- Formation energy: 149 meV per atom
- Calculated volume: 36.3 Å³ per atom

a = 6.906 Å, b = 6.906 Å, c = 25.623 Å
α = 90.00°, β = 90.00°, γ = 116.84°
Element x y z (fractional)
Ca 0.250 0.750 0.999
Ca 0.750 0.250 0.001
Pr 0.001 0.501 0.861
Pr 0.001 0.999 0.081
Pr 0.020 0.520 0.415
Pr 0.025 0.975 0.559
Pr 0.250 0.250 0.203
Pr 0.250 0.250 0.327
Pr 0.250 0.250 0.673
Pr 0.250 0.250 0.797
Pr 0.475 0.525 0.559
Pr 0.480 0.980 0.415
Pr 0.499 0.501 0.081
Pr 0.499 0.999 0.861
Pr 0.501 0.001 0.139
Pr 0.501 0.499 0.919
Pr 0.520 0.020 0.585
Pr 0.525 0.475 0.441
Pr 0.750 0.750 0.203
Pr 0.750 0.750 0.327
Pr 0.750 0.750 0.673
Pr 0.750 0.750 0.797
Pr 0.975 0.025 0.441
Pr 0.980 0.480 0.585
Pr 0.999 0.001 0.919
Pr 0.999 0.499 0.139
Tm 0.250 0.750 0.271
Tm 0.250 0.750 0.726
Tm 0.750 0.250 0.274
Tm 0.750 0.250 0.729

=====

Entry from Alexandria via LeMat-Bulk: a geometry-optimized TaAg3P structure (PBE-GGA).

- Excess energy over the best structure of this formula in the dataset: 792.4 meV per atom
- Total energy: -16.42 eV for the cell shown
- Formation energy: 1880 meV per atom
- Calculated volume: 26.8 Å³ per atom

a = 5.115 Å, b = 5.115 Å, c = 5.115 Å
α = 90.00°, β = 90.00°, γ = 90.00°
Element x y z (fractional)
Ta 0.000 0.000 0.000
Ag 0.000 0.000 0.500
Ag 0.000 0.500 0.000
Ag 0.500 0.000 0.000
P 0.500 0.500 0.500